Here is an optimized crystal structure of NbCrTe2Os from Alexandria. Energies are from PBE.

Computed properties:
E_form (uncorrected) in eV/atom: 1.409

Cell lengths 4.853, 4.503, 4.853 Å; angles 90.00, 90.00, 90.00 degrees
Each line ends with the local moment (μB).
Positions (direct):
Nb: 0.000 0.500 0.000  -0.11
Cr: 0.000 0.000 0.000  0.20
Te: 0.500 0.000 0.000  0.00
Os: 0.500 0.500 0.500  -0.07
Te: 0.000 0.000 0.500  0.00


Here is an optimized crystal structure of Nb2CrOsW from Alexandria. Energies are from PBE.

Cell lengths 4.847, 4.776, 4.847 Å; angles 90.00, 90.00, 90.00 degrees
Each line ends with the local moment (μB).
Positions (direct):
Nb: 0.500 0.000 0.000  -0.14
Nb: 0.000 0.000 0.500  -0.10
Os: 0.000 0.000 0.000  0.00
W: 0.000 0.500 0.000  0.23
Cr: 0.500 0.500 0.500  0.08


Here is an optimized crystal structure of NbZnCrOs from Alexandria. Energies are from PBE.

Cell lengths 4.395, 4.395, 4.395 Å; angles 60.00, 60.00, 60.00 degrees
Each line ends with the local moment (μB).
Positions (direct):
Cr: 0.250 0.250 0.250  2.78
Os: 0.750 0.750 0.750  0.19
Zn: 0.000 0.000 0.000  0.00
Nb: 0.500 0.500 0.500  -0.23


Here is an optimized crystal structure of Nb2Cr2P from Alexandria. Energies are from PBE.

Computed properties:
Offset from the most stable computed form in eV per atom: 0.000

Cell lengths 3.165, 3.165, 7.946 Å; angles 78.51, 78.51, 90.00 degrees
Positions (direct):
Nb: 0.404 0.404 0.192
Cr: 0.750 0.250 0.500
Nb: 0.596 0.596 0.808
Cr: 0.250 0.750 0.500
P: 0.000 0.000 0.000


Computed total energy, in the same sequence as the records: -6.033, -8.976, -8.078, -8.852 eV/atom.